DFT (PBE with a Hubbard U) results for a relaxed structure of RbV2SnO8.

Computed properties:
Space group = P-3, No. 147
DOS at the Fermi energy = 7.65 states/eV/f.u.
Uncorrected energy = -79.72 eV/f.u.

Structure (POSCAR):
```
RbV2SnO8
1.0
-1.476 -5.115 -1.883
2.379 3.724 -3.515
7.265 -2.810 1.938
Rb V Sn O
1 2 1 8
direct
0.000 0.000 0.000
0.667 0.333 0.281
0.333 0.667 0.719
0.000 0.000 0.500
0.333 0.667 0.929
0.329 0.220 0.346
0.780 0.109 0.346
0.667 0.333 0.071
0.220 0.891 0.654
0.671 0.780 0.654
0.109 0.329 0.654
0.891 0.671 0.346
```